PBE TmU3Tl3S8, optimized geometry; N(E_F) = 13.43 states/eV/cell; formation energy without anion corrections = -1.221 eV per atom; VASP energy = -6.4512 eV per atom; ρ = 6.922 g/cm3
1.0
7.990 0.000 0.000
-3.995 6.919 -0.029
0.000 -4.583 7.625
Tl S U Tm
3 8 3 1
direct
0.500 0.500 0.000 Tl
0.000 0.000 0.000 Tl
0.000 0.500 0.000 Tl
0.770 0.540 0.307 S
0.230 0.460 0.693 S
0.770 0.037 0.307 S
0.732 0.464 0.696 S
0.268 0.536 0.304 S
0.733 0.963 0.693 S
0.267 0.037 0.307 S
0.230 0.963 0.693 S
0.500 0.000 0.500 U
0.500 0.500 0.500 U
0.000 0.500 0.500 U
0.000 0.000 0.500 Tm

PBE YTmTl2S4, optimized geometry; N(E_F) = 0.00 states/eV/cell; formation energy without anion corrections = -1.490 eV per atom; VASP energy = -5.5126 eV per atom; ρ = 6.310 g/cm3
1.0
4.006 0.000 0.000
0.000 6.939 0.099
0.000 -2.418 7.491
S Tl Y Tm
4 2 1 1
direct
0.500 0.229 0.196 S
0.000 0.736 0.197 S
0.000 0.264 0.803 S
0.500 0.771 0.804 S
0.000 0.500 0.500 Tl
0.500 0.000 0.500 Tl
0.500 0.500 0.000 Y
0.000 0.000 0.000 Tm

PBE YTm3Tl4S8, optimized geometry; formation energy without anion corrections = -1.489 eV per atom; VASP energy = -5.3871 eV per atom; ρ = 6.679 g/cm3
1.0
7.981 0.000 0.000
0.000 8.806 0.578
-3.991 -3.990 5.645
Tl S Tm Y
4 8 3 1
direct
0.500 0.000 0.000 Tl
0.500 0.000 0.500 Tl
0.000 0.000 0.000 Tl
0.000 0.000 0.500 Tl
0.234 0.696 0.963 S
0.234 0.696 0.468 S
0.271 0.304 0.037 S
0.268 0.305 0.537 S
0.732 0.695 0.463 S
0.766 0.304 0.037 S
0.729 0.696 0.963 S
0.766 0.304 0.532 S
0.500 0.500 0.000 Tm
0.000 0.500 0.500 Tm
0.500 0.500 0.500 Tm
0.000 0.500 0.000 Y